# YCrIN2

YCrIN2 after structural relaxation (PBE, Alexandria via LeMat-Bulk).

- N(E_F) (states/eV per cell) = 3.043
- energy above the lowest structure with this stoichiometry (eV per atom) = 0.000
- formation energy from raw total energies (eV per atom) = 0.355

Structure (CIF):
```
data_YCrIN2
_cell_length_a 3.9940
_cell_length_b 3.9940
_cell_length_c 5.1091
_cell_angle_alpha 90.00
_cell_angle_beta 90.00
_cell_angle_gamma 90.00
_symmetry_space_group_name_H-M 'P 4/m m m'
_symmetry_Int_Tables_number 123
_symmetry_space_group_name_Hall '-P 4 2'
loop_
_atom_site_label
_atom_site_type_symbol
_atom_site_fract_x
_atom_site_fract_y
_atom_site_fract_z
Y1 Y 0.0000 0.0000 0.0000
Cr1 Cr 0.5000 0.5000 0.5000
I1 I 0.5000 0.5000 0.0000
N1 N 0.0000 0.5000 0.5000
```